[1]
! AlCoAs2 | the Alexandria database | PBE-GGA | optimized geometry; values from VASP
&SYSTEM
  ibrav = 0, nat = 4, ntyp = 3
/
ATOMIC_SPECIES
As 74.92 As.upf
Co 58.93 Co.upf
Al 26.98 Al.upf
CELL_PARAMETERS angstrom
-1.3105 -2.4109 1.1473
2.5282 -0.7058 1.4020
-2.0615 3.8002 5.6307
ATOMIC_POSITIONS crystal
As 0.0000 0.0000 0.0465
As 0.0000 0.0000 0.4535
Co 0.5000 0.5000 0.2500
Al 0.5000 0.5000 0.7500
! Size of the total moment ... 0.00 μB per formula unit
! N(E_F) ... 2.6 states/eV per cell
! Space group ... P4/mmm (123)
! V ... 63 Å³ per cell
! ΔE_f ... 0.08 eV/atom


[2]
! AlCoAs2 | the Alexandria database | PBE-GGA | optimized geometry; values from VASP
&SYSTEM
  ibrav = 0, nat = 4, ntyp = 3
/
ATOMIC_SPECIES
As 74.92 As.upf
Co 58.93 Co.upf
Al 26.98 Al.upf
CELL_PARAMETERS angstrom
4.2119 -0.0039 0.0016
3.1997 2.7389 0.0016
1.1446 0.4224 6.3659
ATOMIC_POSITIONS crystal
As 0.0050 0.0050 0.8885
As 0.2345 0.2345 0.3664
Co 0.5026 0.5026 0.5419
Al 0.7580 0.7580 0.7031
! Size of the total moment ... 0.59 μB per formula unit
! N(E_F) ... 2.0 states/eV per cell
! Space group ... Cm (8)
! V ... 74 Å³ per cell
! ΔE_f ... -0.06 eV/atom


[3]
! AlCoAs2 | the Alexandria database | PBE-GGA | optimized geometry; values from VASP
&SYSTEM
  ibrav = 0, nat = 8, ntyp = 3
/
ATOMIC_SPECIES
As 74.92 As.upf
Co 58.93 Co.upf
Al 26.98 Al.upf
CELL_PARAMETERS angstrom
5.5121 0.0000 0.0000
0.0000 5.5121 0.0000
2.7560 2.7560 5.4896
ATOMIC_POSITIONS crystal
As 0.6622 0.1250 0.2500
As 0.0878 0.6250 0.2500
As 0.3750 0.3378 0.7500
As 0.8750 0.9122 0.7500
Co 0.0000 0.0000 0.0000
Co 0.7500 0.2500 0.5000
Al 0.5000 0.5000 0.0000
Al 0.2500 0.7500 0.5000
! Size of the total moment ... 0.00 μB per formula unit
! N(E_F) ... 6.8 states/eV per cell
! Space group ... I-42d (122)
! V ... 167 Å³ per cell
! ΔE_f ... -0.04 eV/atom


[4]
! Al3CoAs | the Alexandria database | PBE-GGA | optimized geometry; values from VASP
&SYSTEM
  ibrav = 0, nat = 5, ntyp = 3
/
ATOMIC_SPECIES
As 74.92 As.upf
Co 58.93 Co.upf
Al 26.98 Al.upf
CELL_PARAMETERS angstrom
4.8303 0.0000 0.0000
0.0000 4.8303 0.0000
0.0000 0.0000 4.8303
ATOMIC_POSITIONS crystal
As 0.0000 0.0000 0.0000
Co 0.5000 0.5000 0.5000
Al 0.0000 0.5000 0.0000
Al 0.0000 0.0000 0.5000
Al 0.5000 0.0000 0.0000
! Size of the total moment ... 1.93 μB per formula unit
! N(E_F) ... 3.1 states/eV per cell
! Space group ... Pm-3m (221)
! V ... 113 Å³ per cell
! ΔE_f ... 1.03 eV/atom


[5]
! AlCoAs2 | the Alexandria database | PBE-GGA | optimized geometry; values from VASP
&SYSTEM
  ibrav = 0, nat = 4, ntyp = 3
/
ATOMIC_SPECIES
As 74.92 As.upf
Co 58.93 Co.upf
Al 26.98 Al.upf
CELL_PARAMETERS angstrom
2.7880 0.0000 0.0000
0.0000 2.7880 0.0000
0.0000 0.0000 8.7981
ATOMIC_POSITIONS crystal
As 0.0000 0.0000 0.9381
As 0.5000 0.5000 0.3459
Co 0.0000 0.0000 0.5196
Al 0.5000 0.5000 0.6964
! Size of the total moment ... 0.16 μB per formula unit
! N(E_F) ... 1.5 states/eV per cell
! Space group ... P4mm (99)
! V ... 68 Å³ per cell
! ΔE_f ... -0.10 eV/atom


[6]
! Al2CoNiAs | the Alexandria database | PBE-GGA | optimized geometry; values from VASP
&SYSTEM
  ibrav = 0, nat = 5, ntyp = 4
/
ATOMIC_SPECIES
Ni 58.69 Ni.upf
As 74.92 As.upf
Co 58.93 Co.upf
Al 26.98 Al.upf
CELL_PARAMETERS angstrom
4.4339 0.0000 0.0000
0.0000 4.3700 0.0000
0.0000 0.0000 4.4339
ATOMIC_POSITIONS crystal
Ni 0.0000 0.5000 0.0000
As 0.5000 0.5000 0.5000
Co 0.0000 0.0000 0.0000
Al 0.0000 0.0000 0.5000
Al 0.5000 0.0000 0.0000
! Size of the total moment ... 1.43 μB per formula unit
! N(E_F) ... 4.2 states/eV per cell
! Space group ... P4/mmm (123)
! V ... 86 Å³ per cell
! ΔE_f ... 0.40 eV/atom